#P
# TcAs2Cl

A geometry-optimized TcAs2Cl structure (PBE-GGA, Alexandria).

Density of states at the Fermi level in states/eV/cell: 1.974
Space-group type: C2/m, No. 12
Volume in Å³ per atom: 21.95

Cell: 4.1109 4.1109 7.7913 Å, 108.90 108.90 45.42°
Atoms (fractional coordinates):
Tc 0.0000 0.0000 0.0000
As 0.3544 0.3544 0.1625
As 0.6456 0.6456 0.8375
Cl 0.5000 0.5000 0.5000


#Q
# TcAs2Cl

A geometry-optimized TcAs2Cl structure (PBE-GGA, Alexandria).

Density of states at the Fermi level in states/eV/cell: 2.406
Space-group type: I4/mmm, No. 139
Volume in Å³ per atom: 16.67

Cell: 4.8451 4.8451 4.8451 Å, 129.13 129.13 74.80°
Atoms (fractional coordinates):
Tc 0.0000 0.0000 0.0000
As 0.2500 0.7500 0.5000
As 0.7500 0.2500 0.5000
Cl 0.5000 0.5000 0.0000


#R
# TcAs2Cl

A geometry-optimized TcAs2Cl structure (PBE-GGA, Alexandria).

Density of states at the Fermi level in states/eV/cell: 1.348
Space-group type: P4/mmm, No. 123
Volume in Å³ per atom: 18.03

Cell: 3.1353 3.1353 7.3357 Å, 90.00 90.00 90.00°
Atoms (fractional coordinates):
Tc 0.0000 0.0000 0.0000
As 0.5000 0.5000 0.1990
As 0.5000 0.5000 0.8010
Cl 0.0000 0.0000 0.5000


Which one is most stable, and which one is least stable? #P is the most stable of them, while #Q is the least stable.


#P
# TcAs2Cl

A geometry-optimized TcAs2Cl structure (PBE-GGA, Alexandria).

Density of states at the Fermi level in states/eV/cell: 3.464
Space-group type: P4/mmm, No. 123
Volume in Å³ per atom: 17.24

Cell: 4.8883 4.8883 2.8860 Å, 90.00 90.00 90.00°
Atoms (fractional coordinates):
Tc 0.0000 0.0000 0.0000
As 0.0000 0.5000 0.5000
As 0.5000 0.0000 0.5000
Cl 0.5000 0.5000 0.0000


#Q
# TcAs2Cl

A geometry-optimized TcAs2Cl structure (PBE-GGA, Alexandria).

Density of states at the Fermi level in states/eV/cell: 0.442
Space-group type: Pm, No. 6
Volume in Å³ per atom: 23.47

Cell: 3.9640 4.0354 5.8748 Å, 90.00 92.69 90.00°
Atoms (fractional coordinates):
Tc 0.0000 0.0000 0.0000
As 0.4734 0.0000 0.2789
As 0.8426 0.5000 0.1883
Cl 0.0911 0.5000 0.7206


Which one is most stable, and which one is least stable? #Q is the most stable of them, while #P is the least stable.


#P
# TcAs2Cl

A geometry-optimized TcAs2Cl structure (PBE-GGA, Alexandria).

Density of states at the Fermi level in states/eV/cell: 3.902
Space-group type: Imm2, No. 44
Volume in Å³ per atom: 22.48

Cell: 7.5873 7.5873 7.5873 Å, 156.34 149.08 39.30°
Atoms (fractional coordinates):
Tc 0.0000 0.0000 0.0000
As 0.1516 0.6516 0.5000
As 0.5463 0.5463 0.0000
Cl 0.8603 0.3603 0.5000


#Q
# TcAs2Cl

A geometry-optimized TcAs2Cl structure (PBE-GGA, Alexandria).

Density of states at the Fermi level in states/eV/cell: 3.616
Space-group type: Pmmm, No. 47
Volume in Å³ per atom: 16.84

Cell: 3.1390 4.5096 4.7575 Å, 90.00 90.00 90.00°
Atoms (fractional coordinates):
Tc 0.0000 0.0000 0.0000
As 0.0000 0.5000 0.5000
As 0.5000 0.0000 0.5000
Cl 0.5000 0.5000 0.0000


Which one is most stable, and which one is least stable? #P is the most stable of them, while #Q is the least stable.


#P
# TcAs2Cl

A geometry-optimized TcAs2Cl structure (PBE-GGA, Alexandria).

Density of states at the Fermi level in states/eV/cell: 3.101
Space-group type: Cmm2, No. 35
Volume in Å³ per atom: 18.83

Cell: 3.0411 3.0411 9.3469 Å, 90.00 90.00 119.38°
Atoms (fractional coordinates):
Tc 0.0000 0.0000 0.0000
As 0.0000 0.0000 0.4686
As 0.5000 0.5000 0.2089
Cl 0.5000 0.5000 0.7941


#Q
# TcAs2Cl

A geometry-optimized TcAs2Cl structure (PBE-GGA, Alexandria).

Density of states at the Fermi level in states/eV/cell: 3.532
Space-group type: Immm, No. 71
Volume in Å³ per atom: 18.61

Cell: 6.1501 6.1501 6.1501 Å, 152.19 136.42 52.49°
Atoms (fractional coordinates):
Tc 0.0000 0.0000 0.0000
As 0.1912 0.6912 0.5000
As 0.8088 0.3088 0.5000
Cl 0.5000 0.5000 0.0000


#R
# TcAs2Cl

A geometry-optimized TcAs2Cl structure (PBE-GGA, Alexandria).

Density of states at the Fermi level in states/eV/cell: 3.059
Space-group type: R-3m, No. 166
Volume in Å³ per atom: 18.22

Cell: 8.1317 8.1317 8.1317 Å, 23.14 23.14 23.14°
Atoms (fractional coordinates):
Tc 0.0000 0.0000 0.0000
As 0.2608 0.2608 0.2608
As 0.7392 0.7392 0.7392
Cl 0.5000 0.5000 0.5000


Which one is most stable, and which one is least stable? #R is the most stable of them, while #P is the least stable.


#P
# TcAs2Cl

A geometry-optimized TcAs2Cl structure (PBE-GGA, Alexandria).

Density of states at the Fermi level in states/eV/cell: 2.333
Space-group type: I-42d, No. 122
Volume in Å³ per atom: 26.47

Cell: 7.0225 7.0225 7.0225 Å, 127.44 127.44 77.54°
Atoms (fractional coordinates):
Tc 0.0000 0.0000 0.0000
Tc 0.7500 0.2500 0.5000
As 0.0479 0.6250 0.9229
As 0.3750 0.2979 0.4229
As 0.7021 0.1250 0.0771
As 0.8750 0.9521 0.5771
Cl 0.2500 0.7500 0.5000
Cl 0.5000 0.5000 0.0000


#Q
# TcAs2Cl

A geometry-optimized TcAs2Cl structure (PBE-GGA, Alexandria).

Density of states at the Fermi level in states/eV/cell: 3.395
Space-group type: P4mm, No. 99
Volume in Å³ per atom: 19.75

Cell: 2.9561 2.9561 9.0395 Å, 90.00 90.00 90.00°
Atoms (fractional coordinates):
Tc 0.0000 0.0000 0.0000
As 0.0000 0.0000 0.4475
As 0.5000 0.5000 0.1709
Cl 0.5000 0.5000 0.8207


Which one is most stable, and which one is least stable? #P is the most stable of them, while #Q is the least stable.


#P
# TcAs2Cl

A geometry-optimized TcAs2Cl structure (PBE-GGA, Alexandria).

Density of states at the Fermi level in states/eV/cell: 3.066
Space-group type: Cmmm, No. 65
Volume in Å³ per atom: 17.37

Cell: 4.9671 4.9671 3.2217 Å, 90.00 90.00 119.05°
Atoms (fractional coordinates):
Tc 0.0000 0.0000 0.0000
As 0.0000 0.5000 0.5000
As 0.5000 0.0000 0.5000
Cl 0.5000 0.5000 0.0000


#Q
# TcAs2Cl

A geometry-optimized TcAs2Cl structure (PBE-GGA, Alexandria).

Density of states at the Fermi level in states/eV/cell: 1.065
Space-group type: Cm, No. 8
Volume in Å³ per atom: 22.64

Cell: 4.7531 4.7531 6.5278 Å, 104.31 104.31 39.52°
Atoms (fractional coordinates):
Tc 0.0000 0.0000 0.0000
As 0.2860 0.2860 0.9661
As 0.4360 0.4360 0.6909
Cl 0.6312 0.6312 0.3008


Which one is most stable, and which one is least stable? #Q is the most stable of them, while #P is the least stable.